{
  "formula": "TlGaGe",
  "functional": "PBE-GGA",
  "state": "relaxed",
  "total_magnetization_mub_per_atom": 0.00,
  "mass_density_g_cm3": 8.3,
  "e_above_lowest_polymorph_ev_per_atom": 0.0000,
  "delta_e_f_ev_per_fu": 0.4,
  "space_group": "Imma (74)",
  "lattice": [[5.8712, -0.1634, 0.1629], [-3.0068, 5.0454, -0.1629], [2.9371, 1.5580, 4.8446]],
  "species": ["Tl", "Tl", "Ga", "Ga", "Ge", "Ge"],
  "fractional_positions": [[0.7500, 0.8743, 0.3757], [0.2500, 0.1257, 0.6243], [0.5000, 0.0000, 0.0000], [0.0000, 0.5000, 0.0000], [0.0000, 0.5000, 0.5000], [0.5000, 0.5000, 0.0000]]
}

***

{
  "formula": "TlGaGeW2",
  "functional": "PBE-GGA",
  "state": "relaxed",
  "total_magnetization_mub_per_atom": 0.27,
  "mass_density_g_cm3": 10.1,
  "delta_e_f_ev_per_fu": 8.7,
  "space_group": "P4/mmm (123)",
  "lattice": [[4.7477, 0.0000, 0.0000], [0.0000, 5.2354, 0.0000], [0.0000, 0.0000, 4.7477]],
  "species": ["Tl", "Ga", "Ge", "W", "W"],
  "fractional_positions": [[0.0000, 0.5000, 0.0000], [0.5000, 0.5000, 0.5000], [0.0000, 0.0000, 0.0000], [0.0000, 0.0000, 0.5000], [0.5000, 0.0000, 0.0000]]
}